VASP calculation (PBEsol) on crystalline Nb2Sn2Hg at its relaxed geometry.

Lattice parameters (Å, degrees): 7.706 7.706 7.706 150.46 150.46 42.27
Positions (direct):
Nb  0.250  0.750  0.500
Nb  0.750  0.250  0.500
Sn  0.100  0.100  0.000
Sn  0.900  0.900  0.000
Hg  0.500  0.500  0.000



VASP calculation (PBEsol) on crystalline Sr3NbHg at its relaxed geometry.

Lattice parameters (Å, degrees): 5.744 5.744 5.744 90.00 90.00 90.00
Positions (direct):
Sr  0.000  0.000  0.500
Sr  0.000  0.500  0.000
Sr  0.500  0.000  0.000
Nb  0.000  0.000  0.000
Hg  0.500  0.500  0.500



We obtain energy of formation values of 1.82; 3.89 eV/f.u. for the records listed above, in that order.
We obtain D(E_F) values of 5.11; 3.93 states/eV/cell for the records listed above, in that order.
We obtain volume values of 22.2; 37.9 Å³ per atom for the records listed above, in that order.